Entry 1:
A geometry-optimized Sr3VSe structure, computed with PBE-GGA.

a b c (Å): 5.925 5.925 5.925
angles (deg): 90.00 90.00 90.00
Fractional coordinates of all 5 atoms:
Sr 0.000 0.000 0.500
Sr 0.000 0.500 0.000
Sr 0.500 0.000 0.000
V 0.500 0.500 0.500
Se 0.000 0.000 0.000

E above lowest polymorph: 0.000 eV per atom
uncorrected formation energy: -0.140 eV/atom
SG: No. 221
magnetization: 5.2 Bohr magnetons per cell
DFT total energy: -0.2698 Ry per atom
Fermi-level density of states: 4.297 states/eV/f.u.

Entry 2:
A geometry-optimized SrV2Se2 structure, computed with PBE-GGA.

a b c (Å): 7.404 7.404 7.404
angles (deg): 150.45 150.45 42.28
Fractional coordinates of all 5 atoms:
Sr 0.000 0.000 0.000
V 0.250 0.750 0.500
V 0.750 0.250 0.500
Se 0.372 0.372 0.000
Se 0.628 0.628 0.000

uncorrected formation energy: -0.810 eV/atom
SG: No. 139
magnetization: 0.0 Bohr magnetons per cell
DFT total energy: -0.4548 Ry per atom
Fermi-level density of states: 3.682 states/eV/f.u.

What is the formula in the second record?
SrV2Se2

What did the second record say?
A geometry-optimized SrV2Se2 structure, computed with PBE-GGA.

a b c (Å): 7.404 7.404 7.404
angles (deg): 150.45 150.45 42.28
Fractional coordinates of all 5 atoms:
Sr 0.000 0.000 0.000
V 0.250 0.750 0.500
V 0.750 0.250 0.500
Se 0.372 0.372 0.000
Se 0.628 0.628 0.000

uncorrected formation energy: -0.810 eV/atom
SG: No. 139
magnetization: 0.0 Bohr magnetons per cell
DFT total energy: -0.4548 Ry per atom
Fermi-level density of states: 3.682 states/eV/f.u.

DFT total energy of number 1 (Sr3VSe)?
-0.2698 Ry per atom